Co6ReMo | PBE | optimized geometry

Results
E above lowest polymorph (eV per atom): 0.0386
M_tot (μB per cell): 6.73
DOS at the Fermi energy (states/eV per cell): 9.6
Space group: Amm2
Density (g/cm3): 11.1
Uncorrected energy (eV per atom): -8.16
Energy of formation (eV/atom): 0.080

Structure (POSCAR):
```
Co6ReMo
1.0
3.562 0.000 0.000
0.000 3.636 3.668
0.000 -3.636 3.668
Co Re Mo
6 1 1
direct
0.000 0.000 0.000
0.000 0.004 0.519
0.000 0.519 0.004
0.500 0.261 0.768
0.500 0.768 0.261
0.500 0.773 0.773
0.000 0.522 0.522
0.500 0.254 0.254
```

***

AlTl2Cr | PBE | optimized geometry

Results
E above lowest polymorph (eV per atom): 0.1931
M_tot (μB per cell): 4.73
DOS at the Fermi energy (states/eV per cell): 2.1
Space group: Fm-3m
Density (g/cm3): 8.9
Uncorrected energy (eV per atom): -4.02
Energy of formation (eV/atom): 0.508

Structure (POSCAR):
```
AlTl2Cr
1.0
0.000 3.571 3.571
3.571 0.000 3.571
3.571 3.571 0.000
Al Tl Cr
1 2 1
direct
0.000 0.000 0.000
0.250 0.250 0.250
0.750 0.750 0.750
0.500 0.500 0.500
```

***

Zn2Si2Hg | PBE | optimized geometry

Results
E above lowest polymorph (eV per atom): 0.0685
M_tot (μB per cell): 0.00
DOS at the Fermi energy (states/eV per cell): 2.7
Space group: P4/mbm
Density (g/cm3): 7.2
Uncorrected energy (eV per atom): -2.42

Structure (POSCAR):
```
Zn2Si2Hg
1.0
8.094 0.000 0.000
0.000 8.094 0.000
0.000 0.000 2.716
Zn Si Hg
4 4 2
direct
0.153 0.347 0.000
0.347 0.847 0.000
0.653 0.153 0.000
0.847 0.653 0.000
0.141 0.641 0.500
0.359 0.141 0.500
0.641 0.859 0.500
0.859 0.359 0.500
0.000 0.000 0.500
0.500 0.500 0.500
```

***

KFe2HgAs | PBE | optimized geometry

Results
M_tot (μB per cell): 6.27
DOS at the Fermi energy (states/eV per cell): 10.3
Space group: P4/mmm
Density (g/cm3): 5.1
Uncorrected energy (eV per atom): -3.53
Energy of formation (eV/atom): 1.061

Structure (POSCAR):
```
KFe2HgAs
1.0
5.074 0.000 0.000
0.000 5.074 0.000
0.000 0.000 5.353
K Fe Hg As
1 2 1 1
direct
0.000 0.000 0.000
0.000 0.500 0.500
0.500 0.000 0.500
0.500 0.500 0.500
0.500 0.500 0.000
```

***

YHo2ThSc4 | PBE | optimized geometry

Results
M_tot (μB per cell): 0.00
DOS at the Fermi energy (states/eV per cell): 12.4
Space group: P4/mmm
Density (g/cm3): 6.2
Uncorrected energy (eV per atom): -6.00
Energy of formation (eV/atom): 0.043

Structure (POSCAR):
```
YHo2ThSc4
1.0
4.942 0.000 0.000
0.000 4.942 0.000
0.000 0.000 9.148
Y Ho Th Sc
1 2 1 4
direct
0.000 0.000 0.000
0.000 0.000 0.500
0.500 0.500 0.000
0.500 0.500 0.500
0.000 0.500 0.253
0.000 0.500 0.747
0.500 0.000 0.253
0.500 0.000 0.747
```

***

CdGe3H | PBE | optimized geometry

Results
E above lowest polymorph (eV per atom): 0.0000
M_tot (μB per cell): 0.00
DOS at the Fermi energy (states/eV per cell): 2.9
Space group: Pm-3m
Density (g/cm3): 6.4
Uncorrected energy (eV per atom): -3.20

Structure (POSCAR):
```
CdGe3H
1.0
4.406 0.000 0.000
0.000 4.406 0.000
0.000 0.000 4.406
Cd Ge H
1 3 1
direct
0.000 0.000 0.000
0.000 0.500 0.500
0.500 0.000 0.500
0.500 0.500 0.000
0.500 0.500 0.500
```

***

BaTa2NiRu | PBE | optimized geometry

Results
M_tot (μB per cell): 0.00
DOS at the Fermi energy (states/eV per cell): 6.9
Space group: P4/mmm
Density (g/cm3): 9.3
Uncorrected energy (eV per atom): -6.70
Energy of formation (eV/atom): 1.441

Structure (POSCAR):
```
BaTa2NiRu
1.0
4.629 0.000 0.000
0.000 4.629 0.000
0.000 0.000 5.521
Ba Ta Ni Ru
1 2 1 1
direct
0.000 0.000 0.000
0.000 0.500 0.500
0.500 0.000 0.500
0.000 0.000 0.500
0.500 0.500 0.000
```

***

FePt2 | PBE | optimized geometry

Results
M_tot (μB per cell): 7.62
DOS at the Fermi energy (states/eV per cell): 4.7
Space group: C2/m
Density (g/cm3): 16.8
Uncorrected energy (eV per atom): -7.04
Energy of formation (eV/atom): -0.196

Structure (POSCAR):
```
FePt2
1.0
5.096 -1.375 0.000
5.096 1.375 0.000
-1.916 0.000 6.310
Fe Pt
2 4
direct
0.029 0.029 0.290
0.971 0.971 0.710
0.325 0.325 0.380
0.362 0.362 0.967
0.638 0.638 0.033
0.675 0.675 0.620
```